Density functional theory data (PBE-GGA) for a geometry-optimized TcNiH structure.

abc: 4.5786 4.7130 2.7400
angles: 73.17 90.00 79.18
With the nearest neighbours (Å) after each atom.
Element x y z (fractional)
Tc (0.6925, 0.1891, 0.2792)  3 H 1.95-1.96
Tc (0.9484, 0.6871, 0.0303)  4 H 1.92-2.01
Ni (0.4418, 0.6910, 0.5287)  2 H 1.76-1.92
H (0.0982, 0.9482, 0.3995)  3 Ni 1.76-1.88, 1 Tc 1.96
Ni (0.2230, 0.1816, 0.7830)  3 H 1.88-1.94
H (0.8304, 0.4376, 0.6548)  4 Tc 1.92-1.95, 2 Ni 1.92-1.94

Values from the calculation:
Polymorph energy (0 for the lowest one)   0.030 eV per atom
SG   Cm

---

Density functional theory data (PBE-GGA) for a geometry-optimized Pr2ErNpO8 structure.

abc: 3.9456 5.5764 7.5832
angles: 90.00 90.00 94.68
With the nearest neighbours (Å) after each atom.
Element x y z (fractional)
O (0.4880, 0.2422, 0.5000)  2 Er 2.26-2.52, 2 Pr 2.33
O (0.0355, 0.7740, 0.2218)  1 Np 2.11
Pr (0.5000, 0.5000, 0.2580)  8 O 2.33-2.52
O (0.9645, 0.2260, 0.7782)  1 Np 2.11
O (0.5572, 0.7854, 0.0000)  1 Np 2.04
O (0.4428, 0.2146, 0.0000)  1 Np 2.04
O (0.0355, 0.7740, 0.7783)  1 Np 2.11
Pr (0.5000, 0.5000, 0.7420)  8 O 2.33-2.52
O (0.5120, 0.7578, 0.5000)  2 Er 2.26-2.52, 2 Pr 2.33
Er (0.0000, 0.0000, 0.5000)  8 O 2.26-2.52
Np (0.0000, 0.0000, 0.0000)  6 O 2.04-2.11
O (0.9645, 0.2260, 0.2217)  1 Np 2.11

Values from the calculation:
Formation energy without anion corrections   -3106 meV per atom
SG   P2/m

---

Density functional theory data (PBE-GGA) for a geometry-optimized Y3BO structure.

abc: 4.5868 4.5868 4.5868
angles: 90.00 90.00 90.00
With the nearest neighbours (Å) after each atom.
Element x y z (fractional)
B (0.5000, 0.5000, 0.5000)  12 Y 3.24
Y (0.5000, 0.0000, 0.0000)  2 O 2.29
Y (0.0000, 0.0000, 0.5000)  2 O 2.29
O (0.0000, 0.0000, 0.0000)  6 Y 2.29
Y (0.0000, 0.5000, 0.0000)  2 O 2.29

Values from the calculation:
Polymorph energy (0 for the lowest one)   0.000 eV per atom
Formation energy without anion corrections   -798 meV per atom
SG   Pm-3m

---

Density functional theory data (PBE-GGA) for a geometry-optimized KAs2Cl2 structure.

abc: 9.2508 9.2508 3.1022
angles: 90.00 90.00 90.00
With the nearest neighbours (Å) after each atom.
Element x y z (fractional)
Cl (0.8743, 0.6257, 0.0000)  2 As 2.53
As (0.2783, 0.2217, 0.5000)  2 Cl 2.53
As (0.2217, 0.7217, 0.5000)  2 Cl 2.53
As (0.7783, 0.2783, 0.5000)  2 Cl 2.53
Cl (0.1257, 0.3743, 0.0000)  2 As 2.53
K (0.5000, 0.5000, 0.0000)  2 K 3.10
As (0.7217, 0.7783, 0.5000)  2 Cl 2.53
Cl (0.6257, 0.1257, 0.0000)  2 As 2.53
K (0.0000, 0.0000, 0.0000)  2 K 3.10
Cl (0.3743, 0.8743, 0.0000)  2 As 2.53

Values from the calculation:
Polymorph energy (0 for the lowest one)   0.563 eV per atom
Formation energy without anion corrections   11 meV per atom
SG   P4/mbm

---

Density functional theory data (PBE-GGA) for a geometry-optimized Li2PuAu structure.

abc: 2.9280 2.9280 10.5460
angles: 82.02 82.02 60.00
With the nearest neighbours (Å) after each atom.
Element x y z (fractional)
Li (0.0983, 0.0983, 0.7051)  3 Au 2.72, 6 Li 2.93
Li (0.9017, 0.9017, 0.2949)  3 Au 2.72, 6 Li 2.93
Au (0.5000, 0.5000, 0.5000)  6 Li 2.72, 6 Au 2.93
Pu (0.0000, 0.0000, 0.0000)  6 Pu 2.93, 2 Li 3.07

Values from the calculation:
E_form   0.03 eV/atom
SG   R-3m

---

Density functional theory data (PBE-GGA) for a geometry-optimized SrScAgGe2 structure.

abc: 5.1365 5.3499 5.1365
angles: 90.00 90.00 90.00
With the nearest neighbours (Å) after each atom.
Element x y z (fractional)
Sr (0.5000, 0.5000, 0.5000)  4 Ag 3.63, 8 Ge 3.71
Ag (0.0000, 0.5000, 0.0000)  2 Sc 2.67
Ge (0.0000, 0.0000, 0.5000)  2 Sc 2.57
Ge (0.5000, 0.0000, 0.0000)  2 Sc 2.57
Sc (0.0000, 0.0000, 0.0000)  4 Ge 2.57, 2 Ag 2.67

Values from the calculation:
E_form   -0.05 eV/atom
SG   P4/mmm